[1]
The following is a GGA-PBE calculation of a relaxed Dy3In2Au crystal, from the Alexandria database.

Summary:
- Total magnetic moment: 0.00 μB/cell
- Formation enthalpy at 0 K: -0.603 eV per atom

abc: 3.5578 3.5578 12.1140
angles: 90.00 90.00 90.00
Space group P4/mmm (No. 123)
One atom of each set of equivalent atoms:
Dy1 0.0000 0.0000 0.0000 [1 per cell]
Dy2 0.0000 0.0000 0.3511 [2 per cell]
In1 0.5000 0.5000 0.1748 [2 per cell]
Au1 0.5000 0.5000 0.5000 [1 per cell]



[2]
The following is a GGA-PBE calculation of a relaxed TePdN2 crystal, from the Alexandria database.

Summary:
- Total magnetic moment: 0.00 μB/cell
- Energy relative to the elements, uncorrected: 1.617 eV/atom

abc: 5.8346 5.8346 5.8346
angles: 90.00 90.00 90.00
Space group Fm-3m (No. 225)
One atom of each set of equivalent atoms:
Te1 0.0000 0.0000 0.0000 [4 per cell]
Pd1 0.0000 0.0000 0.5000 [4 per cell]
N1 0.2500 0.2500 0.2500 [8 per cell]



[3]
The following is a GGA-PBE calculation of a relaxed Mo2PtCl crystal, from the Alexandria database.

Summary:
- Total magnetic moment: 0.00 μB/cell
- Energy relative to the elements, uncorrected: 0.231 eV/atom

abc: 2.8072 3.9066 6.0027
angles: 90.00 90.00 90.00
Space group Pmmm (No. 47)
One atom of each set of equivalent atoms:
Mo1 0.0000 0.0000 0.2265 [2 per cell]
Pt1 0.5000 0.5000 0.0000 [1 per cell]
Cl1 0.0000 0.5000 0.5000 [1 per cell]



[4]
The following is a GGA-PBE calculation of a relaxed Ti2InAs2 crystal, from the Alexandria database.

Summary:
- Total magnetic moment: 0.00 μB/cell
- Formation enthalpy at 0 K: -0.428 eV per atom

abc: 4.3824 4.3824 10.4438
angles: 90.00 90.00 90.00
Space group I4/mmm (No. 139)
One atom of each set of equivalent atoms:
Ti1 0.0000 0.5000 0.2500 [4 per cell]
In1 0.0000 0.0000 0.0000 [2 per cell]
As1 0.0000 0.0000 0.3761 [4 per cell]



[5]
The following is a GGA-PBE calculation of a relaxed AcAl2Pd6 crystal, from the Alexandria database.

Summary:
- Total magnetic moment: 0.00 μB/cell
- Formation enthalpy at 0 K: -0.441 eV per atom

abc: 11.4557 11.4557 11.4557
angles: 90.00 90.00 90.00
Space group Fd-3m (No. 227, origin choice 2)
One atom of each set of equivalent atoms:
Ac1 0.1250 0.1250 0.1250 [8 per cell]
Al1 0.0000 0.0000 0.5000 [16 per cell]
Pd1 0.1198 0.3750 0.8750 [48 per cell]



[6]
The following is a GGA-PBE calculation of a relaxed FeIr2Au crystal, from the Alexandria database.

Summary:
- Total magnetic moment: 5.36 μB/cell
- Formation enthalpy at 0 K: 0.314 eV per atom

abc: 2.7462 4.7381 9.3643
angles: 90.00 90.00 90.00
Space group Cmm2 (No. 35)
One atom of each set of equivalent atoms:
Fe1 0.0000 0.0000 0.0000 [2 per cell]
Ir1 0.0000 0.0000 0.5230 [2 per cell]
Ir2 0.0000 0.5000 0.7702 [2 per cell]
Au1 0.0000 0.5000 0.2508 [2 per cell]



[7]
The following is a GGA-PBE calculation of a relaxed K2ZrRu crystal, from the Alexandria database.

Summary:
- Total magnetic moment: 0.00 μB/cell
- Formation enthalpy at 0 K: 1.094 eV per atom

abc: 7.3123 7.3123 7.3123
angles: 90.00 90.00 90.00
Space group F-43m (No. 216)
One atom of each set of equivalent atoms:
K1 0.0000 0.0000 0.0000 [4 per cell]
K2 0.2500 0.2500 0.2500 [4 per cell]
Zr1 0.0000 0.0000 0.5000 [4 per cell]
Ru1 0.2500 0.2500 0.7500 [4 per cell]



[8]
The following is a GGA-PBE calculation of a relaxed Tb2Ho3Ir2 crystal, from the Alexandria database.

Summary:
- Total magnetic moment: 0.00 μB/cell
- Formation enthalpy at 0 K: -0.636 eV per atom

abc: 12.0318 3.8320 8.8589
angles: 90.00 116.27 90.00
Space group C2/m (No. 12)
One atom of each set of equivalent atoms:
Tb1 0.1671 0.0000 0.3068 [4 per cell]
Ho1 0.0000 0.5000 0.5000 [2 per cell]
Ho2 0.1190 0.5000 0.9308 [4 per cell]
Ir1 0.1761 0.0000 0.7376 [4 per cell]



[9]
The following is a GGA-PBE calculation of a relaxed Pm6Y4Th crystal, from the Alexandria database.

Summary:
- Total magnetic moment: 0.00 μB/cell
- Formation enthalpy at 0 K: 0.164 eV per atom

abc: 8.8083 8.8083 9.5599
angles: 90.00 90.00 90.00
Space group P4/mnc (No. 128)
One atom of each set of equivalent atoms:
Pm1 0.0000 0.0000 0.1686 [4 per cell]
Pm2 0.1450 0.3502 0.0000 [8 per cell]
Y1 0.1494 0.6494 0.2500 [8 per cell]
Th1 0.0000 0.0000 0.5000 [2 per cell]



[10]
The following is a GGA-PBE calculation of a relaxed YHo3Pd12 crystal, from the Alexandria database.

Summary:
- Total magnetic moment: 0.00 μB/cell
- Formation enthalpy at 0 K: -0.878 eV per atom

abc: 4.1117 4.1117 16.5357
angles: 90.00 90.00 90.00
Space group P4/mmm (No. 123)
One atom of each set of equivalent atoms:
Y1 0.0000 0.0000 0.0000 [1 per cell]
Ho1 0.0000 0.0000 0.2511 [2 per cell]
Ho2 0.0000 0.0000 0.5000 [1 per cell]
Pd1 0.0000 0.5000 0.1263 [4 per cell]
Pd2 0.0000 0.5000 0.3753 [4 per cell]
Pd3 0.5000 0.5000 0.0000 [1 per cell]
Pd4 0.5000 0.5000 0.2506 [2 per cell]
Pd5 0.5000 0.5000 0.5000 [1 per cell]



[11]
The following is a GGA-PBE calculation of a relaxed K4Np3SbTe8 crystal, from the Alexandria database.

Summary:
- Total magnetic moment: 36.00 μB/cell
- Energy relative to the elements, uncorrected: -0.793 eV/atom

abc: 9.1600 9.1600 24.5444
angles: 90.00 90.00 120.00
Space group R-3m (No. 166, hexagonal axes)
One atom of each set of equivalent atoms:
K1 0.0000 0.0000 0.0000 [3 per cell]
K2 0.0000 0.5000 0.0000 [9 per cell]
Np1 0.0000 0.5000 0.5000 [9 per cell]
Sb1 0.0000 0.0000 0.5000 [3 per cell]
Te1 0.0000 0.0000 0.2365 [6 per cell]
Te2 0.0019 0.5010 0.2360 [18 per cell]



[12]
The following is a GGA-PBE calculation of a relaxed CaTlBiPtN crystal, from the Alexandria database.

Summary:
- Total magnetic moment: 0.00 μB/cell
- Energy relative to the elements, uncorrected: -0.082 eV/atom

abc: 5.4854 3.8900 5.8892
angles: 90.00 110.73 90.00
Space group Pm (No. 6)
One atom of each set of equivalent atoms:
Ca1 0.0000 0.0000 0.0000 [1 per cell]
Tl1 0.5733 0.5000 0.1382 [1 per cell]
Bi1 0.3992 0.0000 0.5711 [1 per cell]
Pt1 0.0144 0.5000 0.5380 [1 per cell]
N1 0.1577 0.5000 0.8988 [1 per cell]



[13]
The following is a GGA-PBE calculation of a relaxed BaCa2Au crystal, from the Alexandria database.

Summary:
- Total magnetic moment: 0.00 μB/cell
- Formation enthalpy at 0 K: -0.184 eV per atom

abc: 4.9119 4.9260 5.8011
angles: 90.00 90.00 90.00
Space group Pmmm (No. 47)
One atom of each set of equivalent atoms:
Ba1 0.0000 0.0000 0.0000 [1 per cell]
Ca1 0.0000 0.5000 0.5000 [1 per cell]
Ca2 0.5000 0.0000 0.5000 [1 per cell]
Au1 0.5000 0.5000 0.0000 [1 per cell]



[14]
The following is a GGA-PBE calculation of a relaxed SiAgBr2 crystal, from the Alexandria database.

Summary:
- Total magnetic moment: 0.00 μB/cell
- Energy relative to the elements, uncorrected: 0.562 eV/atom

abc: 7.1773 7.1773 7.1773
angles: 90.00 90.00 90.00
Space group F-43m (No. 216)
One atom of each set of equivalent atoms:
Si1 0.0000 0.0000 0.0000 [4 per cell]
Ag1 0.2500 0.2500 0.2500 [4 per cell]
Br1 0.0000 0.0000 0.5000 [4 per cell]
Br2 0.2500 0.2500 0.7500 [4 per cell]



[15]
The following is a GGA-PBE calculation of a relaxed NaReNi crystal, from the Alexandria database.

Summary:
- Total magnetic moment: 0.00 μB/cell
- Formation enthalpy at 0 K: 0.541 eV per atom

abc: 8.4312 3.8168 6.7188
angles: 90.00 105.27 90.00
Space group Cm (No. 8)
One atom of each set of equivalent atoms:
Na1 0.0000 0.0000 0.0000 [2 per cell]
Na2 0.1710 0.5000 0.8281 [2 per cell]
Re1 0.3581 0.0000 0.2777 [2 per cell]
Re2 0.4913 0.5000 0.4689 [2 per cell]
Ni1 0.1719 0.5000 0.3766 [2 per cell]
Ni2 0.3115 0.0000 0.6123 [2 per cell]



[16]
The following is a GGA-PBE calculation of a relaxed LiTaP crystal, from the Alexandria database.

Summary:
- Total magnetic moment: 0.00 μB/cell
- Formation enthalpy at 0 K: -0.118 eV per atom

abc: 3.1364 3.1364 10.0499
angles: 90.00 90.00 90.00
Space group I4mm (No. 107)
One atom of each set of equivalent atoms:
Li1 0.0000 0.0000 0.0000 [2 per cell]
Ta1 0.0000 0.0000 0.2797 [2 per cell]
P1 0.0000 0.0000 0.6585 [2 per cell]



[17]
The following is a GGA-PBE calculation of a relaxed Np2NbAl6 crystal, from the Alexandria database.

Summary:
- Total magnetic moment: 7.77 μB/cell
- Formation enthalpy at 0 K: -0.115 eV per atom

abc: 8.1396 8.1396 2.8435
angles: 90.00 90.00 120.00
Space group P6/mmm (No. 191)
One atom of each set of equivalent atoms:
Np1 0.3333 0.6667 0.0000 [2 per cell]
Nb1 0.0000 0.0000 0.0000 [1 per cell]
Al1 0.0000 0.3218 0.5000 [6 per cell]



[18]
The following is a GGA-PBE calculation of a relaxed RhBrN2O crystal, from the Alexandria database.

Summary:
- Total magnetic moment: 0.26 μB/cell
- Energy relative to the elements, uncorrected: 2.293 eV/atom

abc: 4.1026 4.1026 3.6018
angles: 90.00 90.00 90.00
Space group P4/mmm (No. 123)
One atom of each set of equivalent atoms:
Rh1 0.0000 0.0000 0.0000 [1 per cell]
Br1 0.5000 0.5000 0.5000 [1 per cell]
N1 0.0000 0.5000 0.5000 [2 per cell]
O1 0.5000 0.5000 0.0000 [1 per cell]



[19]
The following is a GGA-PBE calculation of a relaxed Ac4RhBr5 crystal, from the Alexandria database.

Summary:
- Total magnetic moment: 0.00 μB/cell
- Energy relative to the elements, uncorrected: -1.507 eV/atom

abc: 20.4197 4.2835 9.2937
angles: 90.00 106.99 90.00
Space group C2/m (No. 12)
One atom of each set of equivalent atoms:
Ac1 0.0027 0.0000 0.2856 [4 per cell]
Ac2 0.1553 0.5000 0.6138 [4 per cell]
Rh1 0.0000 0.5000 0.5000 [2 per cell]
Br1 0.0000 0.5000 0.0000 [2 per cell]
Br2 0.1656 0.0000 0.8717 [4 per cell]
Br3 0.1751 0.0000 0.3637 [4 per cell]



[20]
The following is a GGA-PBE calculation of a relaxed Li3Al crystal, from the Alexandria database.

Summary:
- Total magnetic moment: 1.50 μB/cell
- Formation enthalpy at 0 K: 0.528 eV per atom

abc: 5.3294 5.3294 5.3294
angles: 90.00 90.00 90.00
Space group Pm-3m (No. 221)
One atom of each set of equivalent atoms:
Li1 0.0000 0.0000 0.5000 [3 per cell]
Al1 0.0000 0.0000 0.0000 [1 per cell]



[21]
The following is a GGA-PBE calculation of a relaxed BaFeGe3 crystal, from the Alexandria database.

Summary:
- Total magnetic moment: 2.55 μB/cell
- Formation enthalpy at 0 K: -0.118 eV per atom

abc: 4.7977 4.7977 4.7977
angles: 90.00 90.00 90.00
Space group Pm-3m (No. 221)
One atom of each set of equivalent atoms:
Ba1 0.0000 0.0000 0.0000 [1 per cell]
Fe1 0.5000 0.5000 0.5000 [1 per cell]
Ge1 0.0000 0.5000 0.5000 [3 per cell]



[22]
The following is a GGA-PBE calculation of a relaxed Ho3TmCo2 crystal, from the Alexandria database.

Summary:
- Total magnetic moment: 0.00 μB/cell
- Formation enthalpy at 0 K: -0.086 eV per atom

abc: 6.4821 13.0898 6.8658
angles: 90.00 90.00 90.00
Space group Ibam (No. 72)
One atom of each set of equivalent atoms:
Ho1 0.0000 0.0000 0.2500 [4 per cell]
Ho2 0.0000 0.2661 0.2500 [8 per cell]
Tm1 0.0000 0.5000 0.0000 [4 per cell]
Co1 0.2201 0.1359 0.0000 [8 per cell]



[23]
The following is a GGA-PBE calculation of a relaxed Sr2CrPH crystal, from the Alexandria database.

Summary:
- Calculated total energy: -4.2784 eV per atom
- Total magnetic moment: 5.00 μB/cell

abc: 5.4607 5.4607 3.8378
angles: 90.00 90.00 90.00
Space group P4/mmm (No. 123)
One atom of each set of equivalent atoms:
Sr1 0.0000 0.5000 0.0000 [2 per cell]
Cr1 0.0000 0.0000 0.5000 [1 per cell]
P1 0.5000 0.5000 0.5000 [1 per cell]
H1 0.5000 0.5000 0.0000 [1 per cell]



[24]
The following is a GGA-PBE calculation of a relaxed Tb2Pr2SmY crystal, from the Alexandria database.

Summary:
- Total magnetic moment: 0.00 μB/cell
- Formation enthalpy at 0 K: 0.056 eV per atom

abc: 7.1139 5.7236 9.9090
angles: 90.00 90.00 90.00
Space group Pmma (No. 51)
One atom of each set of equivalent atoms:
Tb1 0.2500 0.0000 0.1644 [2 per cell]
Tb2 0.2500 0.5000 0.6677 [2 per cell]
Pr1 0.0000 0.5000 0.0000 [2 per cell]
Pr2 0.2500 0.0000 0.8246 [2 per cell]
Sm1 0.2500 0.5000 0.3400 [2 per cell]
Y1 0.0000 0.0000 0.5000 [2 per cell]



[25]
The following is a GGA-PBE calculation of a relaxed Cd2Ge2Rh crystal, from the Alexandria database.

Summary:
- Total magnetic moment: 0.00 μB/cell
- Formation enthalpy at 0 K: -0.018 eV per atom

abc: 6.4428 6.4428 4.6131
angles: 90.00 90.00 90.00
Space group P4/mbm (No. 127)
One atom of each set of equivalent atoms:
Cd1 0.1837 0.3163 0.0000 [4 per cell]
Ge1 0.1379 0.6379 0.5000 [4 per cell]
Rh1 0.0000 0.0000 0.5000 [2 per cell]